Density functional theory data (PBE-GGA) for a geometry-optimized KHOs2O8 structure.

## Properties
uncorrected energy: -153.55 eV/cell
total magnetic moment: 0.00 μB per formula unit

Lattice parameters (Å, degrees): 11.887 5.222 7.404 90.00 119.03 90.00
Space group C2/m (No. 12)
One atom of each set of equivalent atoms:
K1 0.000 0.000 0.000 (multiplicity 2)
H1 0.000 0.500 0.500 (multiplicity 2)
Os1 0.187 0.000 0.661 (multiplicity 4)
O1 0.105 0.269 0.682 (multiplicity 8)
O2 0.150 0.500 0.154 (multiplicity 4)
O3 0.169 0.000 0.409 (multiplicity 4)